1.
First-principles (PBEsol) data for a geometry-optimized Cs2KHg structure, as listed in the Alexandria database.

Magnetization: 0.00 μB/cell
Energy above the most stable polymorph in this dataset: 0.0 meV/atom
Calculated total energy: -0.9249 eV/atom
E_form: -29 meV per atom

a = 12.0491 Å, b = 12.0491 Å, c = 7.4009 Å
α = 90.00°, β = 90.00°, γ = 90.00°
Space group I-42d (No. 122)
One atom of each set of equivalent atoms:
1 Cs 0.1518 0.7500 0.1250
2 K 0.0000 0.0000 0.5000
3 Hg 0.0000 0.0000 0.0000


2.
First-principles (PBEsol) data for a geometry-optimized Cs3KHg structure, as listed in the Alexandria database.

Magnetization: 0.00 μB/cell
Calculated total energy: -0.9613 eV/atom
E_form: -56 meV per atom

a = 7.3081 Å, b = 7.3081 Å, c = 7.3081 Å
α = 90.00°, β = 90.00°, γ = 90.00°
Space group Pm-3m (No. 221)
One atom of each set of equivalent atoms:
1 Cs 0.0000 0.0000 0.5000
2 K 0.5000 0.5000 0.5000
3 Hg 0.0000 0.0000 0.0000


3.
First-principles (PBEsol) data for a geometry-optimized Cs2KHg structure, as listed in the Alexandria database.

Magnetization: 0.00 μB/cell
Energy above the most stable polymorph in this dataset: 23.3 meV/atom
Calculated total energy: -0.9016 eV/atom
E_form: -5 meV per atom

a = 9.8631 Å, b = 9.8631 Å, c = 9.8631 Å
α = 90.00°, β = 90.00°, γ = 90.00°
Space group Fm-3m (No. 225)
One atom of each set of equivalent atoms:
1 Cs 0.2500 0.2500 0.2500
2 K 0.0000 0.0000 0.0000
3 Hg 0.0000 0.0000 0.5000